# 1
Entry from Alexandria via LeMat-Bulk: an optimized crystal structure of TeIr2Br (GGA-PBE).

As for the total energy: -4.932 eV per atom. Its total magnetization is 0.0 Bohr magnetons per cell.

Structure (POSCAR):
```
TeIr2Br
1.0
-0.551 -5.740 -2.977
4.415 -3.817 -2.837
-2.447 3.271 5.042
Ir Te Br
2 1 1
direct
0.050 0.050 0.000 Ir
0.246 0.746 0.500 Ir
0.459 0.459 0.000 Te
0.745 0.245 0.500 Br
```



# 2
Entry from Alexandria via LeMat-Bulk: an optimized crystal structure of MnHgPBr (GGA-PBE).

As for the total energy: -4.175 eV per atom. Its total magnetization is 0.1 Bohr magnetons per cell.

Structure (POSCAR):
```
MnHgPBr
1.0
-0.894 1.020 -3.501
-1.616 -3.020 1.543
-3.880 5.779 2.681
Mn Hg P Br
1 1 1 1
direct
0.699 0.958 0.202 Mn
0.821 0.200 0.567 Hg
0.378 0.316 0.239 P
0.586 0.731 0.862 Br
```



# 3
Entry from Alexandria via LeMat-Bulk: an optimized crystal structure of RbGa3I9 (GGA-PBE).

As for the total energy: -2.428 eV per atom. Its total magnetization is 1.1 Bohr magnetons per cell.

Structure (POSCAR):
```
RbGa3I9
1.0
10.411 0.000 4.381
4.728 10.405 3.326
0.368 -0.079 13.686
Rb Ga I
2 6 18
direct
0.131 0.427 0.954 Rb
0.488 0.927 0.454 Rb
0.813 0.542 0.686 Ga
0.960 0.042 0.186 Ga
0.015 0.967 0.800 Ga
0.219 0.467 0.300 Ga
0.599 0.258 0.751 Ga
0.392 0.758 0.251 Ga
0.342 0.225 0.271 I
0.163 0.725 0.771 I
0.509 0.309 0.943 I
0.240 0.809 0.443 I
0.147 0.108 0.667 I
0.078 0.608 0.167 I
0.627 0.783 0.187 I
0.403 0.283 0.687 I
0.844 0.939 0.374 I
0.843 0.439 0.874 I
0.607 0.772 0.695 I
0.925 0.272 0.195 I
0.465 0.515 0.234 I
0.786 0.015 0.734 I
0.733 0.399 0.608 I
0.260 0.899 0.108 I
0.918 0.014 0.008 I
0.059 0.514 0.508 I
```



Repeat the first record exactly.
Entry from Alexandria via LeMat-Bulk: an optimized crystal structure of TeIr2Br (GGA-PBE).

As for the total energy: -4.932 eV per atom. Its total magnetization is 0.0 Bohr magnetons per cell.

Structure (POSCAR):
```
TeIr2Br
1.0
-0.551 -5.740 -2.977
4.415 -3.817 -2.837
-2.447 3.271 5.042
Ir Te Br
2 1 1
direct
0.050 0.050 0.000 Ir
0.246 0.746 0.500 Ir
0.459 0.459 0.000 Te
0.745 0.245 0.500 Br
```



Among the records above, which one has the highest total magnetization?
RbGa3I9